Record 1
Material: UCdHg
Method: DFT, PBE-GGA
State: optimized geometry

```
UCdHg
1.0
3.058 0.000 0.000
0.000 3.058 0.000
-1.529 -1.529 7.374
U Hg Cd
1 1 1
Cartesian
0.000 0.000 0.019
1.529 1.529 2.507
0.000 0.000 4.848
```

Computed properties:
Formation enthalpy at 0 K (meV/atom): 182
Crystal system: tetragonal

Record 2
Material: UCdHg
Method: DFT, PBE-GGA
State: optimized geometry

```
UCdHg
1.0
3.029 0.000 0.000
0.000 5.078 0.000
-1.515 0.000 8.813
Cd Hg U
2 2 2
Cartesian
0.000 1.270 7.763
1.515 3.809 1.050
1.515 3.809 7.011
0.000 1.270 1.802
1.515 1.270 4.637
0.000 3.809 4.176
```

Computed properties:
Formation enthalpy at 0 K (meV/atom): 153
Crystal system: orthorhombic

Record 3
Material: UCdHg2
Method: DFT, PBE-GGA
State: optimized geometry

```
UCdHg2
1.0
3.073 0.000 0.000
0.000 5.631 0.000
0.000 0.000 5.631
U Hg Cd
1 2 1
Cartesian
1.536 0.000 0.000
0.000 0.000 2.816
0.000 2.816 0.000
1.536 2.816 2.816
```

Computed properties:
Formation enthalpy at 0 K (meV/atom): 219
Crystal system: tetragonal

Record 4
Material: UCdHg2
Method: DFT, PBE-GGA
State: optimized geometry

```
UCdHg2
1.0
-1.724 2.179 -1.516
-2.025 0.089 2.431
5.024 6.715 3.940
U Hg Cd
1 2 1
Cartesian
0.637 4.492 2.427
3.811 5.095 2.989
1.212 1.620 0.951
-1.875 1.134 0.457
```

Computed properties:
Formation enthalpy at 0 K (meV/atom): 144
Crystal system: tetragonal

Record 5
Material: UCdHg2
Method: DFT, PBE-GGA
State: optimized geometry

```
UCdHg2
1.0
3.110 0.000 0.000
1.555 2.694 0.000
1.555 0.898 10.872
U Hg Cd
1 2 1
Cartesian
3.110 1.796 5.436
1.555 0.898 2.662
4.665 2.694 8.210
0.000 0.000 0.000
```

Computed properties:
Formation enthalpy at 0 K (meV/atom): 140
Crystal system: trigonal

Record 6
Material: UCdHg
Method: DFT, PBE-GGA
State: optimized geometry

```
UCdHg
1.0
3.043 0.000 0.000
-1.522 2.636 0.000
0.000 0.000 8.379
U Hg Cd
1 1 1
Cartesian
0.000 0.000 0.014
1.522 0.879 2.822
0.000 1.757 5.543
```

Computed properties:
Formation enthalpy at 0 K (meV/atom): 158
Crystal system: trigonal

Record 7
Material: V2CdHg
Method: DFT, PBE-GGA
State: optimized geometry

```
V2CdHg
1.0
7.427 0.000 0.000
0.000 7.427 0.000
3.713 3.713 2.713
Cd Hg V
2 2 4
Cartesian
3.713 3.713 0.000
3.713 7.427 1.357
0.000 0.000 0.000
7.427 3.713 1.357
5.604 1.857 0.678
1.823 5.570 0.678
5.570 5.536 2.035
9.283 9.317 2.035
```

Computed properties:
Offset from the most stable computed form (meV/atom): 317
Formation enthalpy at 0 K (meV/atom): 851
Crystal system: tetragonal

Record 8
Material: VCdHg
Method: DFT, PBE-GGA
State: optimized geometry

```
VCdHg
1.0
-0.356 -1.217 -2.746
-3.245 -4.140 1.643
-7.155 2.549 -0.730
V Hg Cd
2 2 2
Cartesian
-7.419 -3.046 -1.618
-5.114 0.232 -1.739
-7.938 -0.252 -1.181
-9.913 -1.500 0.736
-4.155 -1.395 0.568
-2.272 -0.078 -1.357
```

Computed properties:
Formation enthalpy at 0 K (meV/atom): 303
Crystal system: triclinic

Record 9
Material: VCdHg
Method: DFT, PBE-GGA
State: optimized geometry

```
VCdHg
1.0
-2.539 1.131 1.215
-0.850 -4.097 2.540
3.125 2.167 7.105
V Hg Cd
2 2 2
Cartesian
-0.846 1.434 4.434
-0.306 -1.314 7.215
-0.942 -0.056 1.860
1.696 0.458 6.015
-0.345 -1.526 4.378
2.336 -0.961 8.615
```

Computed properties:
Formation enthalpy at 0 K (meV/atom): 262
Crystal system: triclinic

Record 10
Material: VCdHg
Method: DFT, PBE-GGA
State: optimized geometry

```
VCdHg
1.0
3.035 -0.247 0.155
-1.066 5.394 -0.285
-0.603 -2.643 7.271
V Hg Cd
2 2 2
Cartesian
1.512 3.634 1.865
-0.177 2.228 2.722
1.310 0.591 0.911
1.266 2.645 5.178
-0.546 0.412 6.697
1.076 -0.221 4.090
```

Computed properties:
Formation enthalpy at 0 K (meV/atom): 251
Crystal system: triclinic

Record 11
Material: V3CdHg
Method: DFT, PBE-GGA
State: optimized geometry

```
V3CdHg
1.0
-4.971 1.013 -0.269
-0.341 -2.794 -4.229
-0.991 -4.120 2.802
Cd Hg V
1 1 3
Cartesian
-3.151 -2.951 -0.848
0.000 0.000 0.000
-0.170 -1.397 -2.115
-0.495 -2.060 1.401
-2.486 0.506 -0.134
```

Computed properties:
Offset from the most stable computed form (meV/atom): 0
Formation enthalpy at 0 K (meV/atom): 1568
Crystal system: cubic

Record 12
Material: VCdHg
Method: DFT, PBE-GGA
State: optimized geometry

```
VCdHg
1.0
4.676 0.000 0.007
0.000 5.941 0.000
-4.415 0.000 8.511
V Hg Cd
4 4 4
Cartesian
1.493 0.000 0.459
-1.231 0.000 8.059
-0.715 2.971 4.715
0.976 2.971 3.803
1.269 0.000 3.347
-1.007 0.000 5.171
-0.939 2.971 7.603
1.200 2.971 0.915
-1.104 1.485 2.128
-3.311 1.485 6.383
-3.311 4.456 6.383
-1.104 4.456 2.128
```

Computed properties:
Formation enthalpy at 0 K (meV/atom): 342
Crystal system: monoclinic